4
Lattice="4.434 0.000 0.000 2.217 3.840 0.000 2.217 1.280 3.620" Properties=species:S:1:pos:R:3 comment="TlZnFe2 | Alexandria | PBE | optimized geometry" dft_energy_ev_per_atom=-4.6722 de_polymorph_kcal_per_mol_atoms=4.06 pbc="T T T"
Tl 4.434 2.560 1.810
Fe 0.000 0.000 0.000
Fe 2.217 1.280 0.905
Zn 6.651 3.840 2.715



14
Lattice="6.013 -0.747 -0.117 1.199 5.939 -0.117 2.645 1.904 11.477" Properties=species:S:1:pos:R:3 comment="Sm5TlAu | Alexandria | PBE | optimized geometry" dft_energy_ev_per_atom=-4.3879 pbc="T T T"
Sm 6.314 6.015 10.686
Sm 6.066 6.326 7.101
Sm 1.938 6.308 2.753
Sm 3.791 0.771 4.142
Sm 6.601 2.794 1.363
Sm 3.544 1.082 0.558
Sm 6.385 3.127 4.947
Sm 7.920 0.789 8.491
Sm 3.473 3.970 6.296
Sm 3.256 4.303 9.881
Au 0.000 0.000 0.000
Au 1.323 0.952 5.738
Tl 6.052 3.382 8.491
Tl 3.805 3.714 2.753



Energy of formation? In order: 0.47 -0.21 eV/atom.
D(E_F)? In order: 2.7 15.9 states/eV per cell.
Spin magnetization? In order: 5.13 0.00 μB/f.u..